# Ta4MoSe10

An optimized crystal structure of Ta4MoSe10 (PBE, the Alexandria database).

Lattice parameters (Å, degrees): 19.571 3.440 10.529 90.00 94.41 90.00
Space group Cm (No. 8)
Symmetry-distinct sites (fractional):
Ta: 0.000 0.000 0.000 x2
Ta: 0.098 0.500 0.805 x2
Ta: 0.205 0.000 0.591 x2
Ta: 0.395 0.000 0.210 x2
Mo: 0.298 0.500 0.404 x2
Se: 0.000 0.000 0.752 x2
Se: 0.028 0.500 0.184 x2
Se: 0.103 0.500 0.556 x2
Se: 0.132 0.000 0.984 x2
Se: 0.202 0.000 0.349 x2
Se: 0.230 0.500 0.778 x2
Se: 0.298 0.500 0.159 x2
Se: 0.334 0.000 0.580 x2
Se: 0.400 0.000 0.960 x2
Se: 0.429 0.500 0.387 x2

Output
The energy relative to the lowest polymorph listed for this composition comes out at 0.00 eV per formula unit.